Record 1
A geometry-optimized Gd3Al3CuNi2 structure, computed with PBE-GGA.

The structure in POSCAR format:
```
Gd3Al3CuNi2
1.0
-1.929 4.692 4.798
-4.695 -4.466 -2.602
0.875 -2.612 2.906
Al Cu Gd Ni
3 1 3 2
Direct
0.238 0.000 0.000 Al
0.000 0.238 0.000 Al
0.762 0.762 0.000 Al
0.000 0.000 0.500 Cu
0.581 0.000 0.500 Gd
0.419 0.419 0.500 Gd
0.000 0.581 0.500 Gd
0.667 0.333 0.000 Ni
0.333 0.667 0.000 Ni
```

Summary:
As for the crystal system: hexagonal. The space group is P-62m, No. 189. As for the magnetic moment: 0.00 μB/atom.



Record 2
A geometry-optimized Gd3Al3Cu2Ni structure, computed with PBE-GGA.

The structure in POSCAR format:
```
Gd3Al3Cu2Ni
1.0
7.035 0.000 0.000
-3.517 6.092 0.000
0.000 0.000 4.053
Al Cu Gd Ni
3 2 3 1
Direct
0.228 0.000 0.500 Al
0.000 0.228 0.500 Al
0.772 0.772 0.500 Al
0.667 0.333 0.500 Cu
0.333 0.667 0.500 Cu
0.588 0.000 0.000 Gd
0.412 0.412 0.000 Gd
0.000 0.588 0.000 Gd
0.000 0.000 0.000 Ni
```

Summary:
As for the crystal system: hexagonal. The space group is P-62m, No. 189. As for the magnetic moment: 0.00 μB/atom.



Record 3
A geometry-optimized GdSc2Al3Cu2Ni structure, computed with PBE-GGA.

The structure in POSCAR format:
```
GdSc2Al3Cu2Ni
1.0
-2.295 -2.361 -2.087
-2.598 -2.556 5.747
-2.920 5.413 -2.913
Al Cu Gd Ni Sc
3 2 1 1 2
Direct
0.500 0.765 0.006 Al
0.500 0.234 0.234 Al
0.500 0.006 0.765 Al
0.500 0.670 0.325 Cu
0.500 0.325 0.670 Cu
0.000 0.587 0.587 Gd
0.000 0.010 0.010 Ni
0.000 0.998 0.405 Sc
0.000 0.405 0.998 Sc
```

Summary:
As for the crystal system: orthorhombic. The space group is Amm2, No. 38. As for the magnetic moment: 0.00 μB/atom.



Record 4
A geometry-optimized Gd2TmAl3CuNi2 structure, computed with PBE-GGA.

The structure in POSCAR format:
```
Gd2TmAl3CuNi2
1.0
3.972 0.000 0.000
0.000 6.018 3.468
0.000 -6.018 3.468
Al Cu Gd Ni Tm
3 1 2 2 1
Direct
0.500 0.240 0.003 Al
0.500 0.003 0.240 Al
0.500 0.760 0.760 Al
0.000 0.003 0.003 Cu
0.000 0.999 0.580 Gd
0.000 0.580 0.999 Gd
0.500 0.662 0.335 Ni
0.500 0.335 0.662 Ni
0.000 0.418 0.418 Tm
```

Summary:
As for the crystal system: orthorhombic. The space group is Amm2, No. 38. As for the magnetic moment: 0.00 μB/atom.



Record 5
A geometry-optimized GdTm2Al3Cu2Pd structure, computed with PBE-GGA.

The structure in POSCAR format:
```
GdTm2Al3Cu2Pd
1.0
4.076 0.000 0.000
0.000 6.050 3.505
0.000 -6.050 3.505
Al Cu Gd Pd Tm
3 2 1 1 2
Direct
0.500 0.998 0.239 Al
0.500 0.760 0.760 Al
0.500 0.239 0.998 Al
0.500 0.671 0.331 Cu
0.500 0.331 0.671 Cu
0.000 0.420 0.420 Gd
0.000 0.995 0.995 Pd
0.000 0.583 0.001 Tm
0.000 0.001 0.583 Tm
```

Summary:
As for the crystal system: orthorhombic. The space group is Amm2, No. 38. As for the magnetic moment: 0.00 μB/atom.



Record 6
A geometry-optimized GdY2Al3Cu2Pd structure, computed with PBE-GGA.

The structure in POSCAR format:
```
GdY2Al3Cu2Pd
1.0
-0.803 3.018 -2.614
1.035 -4.427 -5.429
-6.475 0.687 2.783
Al Cu Gd Pd Y
3 2 1 1 2
Direct
0.500 0.761 0.001 Al
0.500 0.239 0.239 Al
0.500 0.001 0.761 Al
0.500 0.667 0.333 Cu
0.500 0.333 0.667 Cu
0.000 0.581 0.581 Gd
0.000 0.000 0.000 Pd
0.000 0.999 0.419 Y
0.000 0.419 0.999 Y
```

Summary:
As for the crystal system: orthorhombic. The space group is Amm2, No. 38. As for the magnetic moment: 0.00 μB/atom.



Record 7
A geometry-optimized GdAl2CuPt structure, computed with PBE-GGA.

The structure in POSCAR format:
```
GdAl2CuPt
1.0
4.705 -0.098 4.032
1.373 4.605 3.912
-4.766 -3.427 -1.985
Al Cu Gd Pt
2 1 1 1
Direct
0.748 0.248 0.500 Al
0.248 0.748 0.500 Al
0.616 0.616 0.000 Cu
0.004 0.004 0.000 Gd
0.384 0.384 0.000 Pt
```

Summary:
As for the crystal system: tetragonal. The space group is I4mm, No. 107. As for the magnetic moment: 0.00 μB/atom.



Record 8
A geometry-optimized Tb2GdAl3CuSi2 structure, computed with PBE-GGA.

The structure in POSCAR format:
```
Tb2GdAl3CuSi2
1.0
-0.906 -4.029 0.760
6.618 -1.158 1.752
-4.586 1.944 4.837
Al Cu Gd Si Tb
3 1 1 2 2
Direct
0.500 0.763 0.000 Al
0.500 0.237 0.237 Al
0.500 0.000 0.763 Al
0.000 0.001 0.001 Cu
0.000 0.594 0.594 Gd
0.500 0.667 0.332 Si
0.500 0.332 0.667 Si
0.000 0.000 0.406 Tb
0.000 0.406 0.000 Tb
```

Summary:
As for the crystal system: orthorhombic. The space group is Amm2, No. 38. As for the magnetic moment: 0.00 μB/atom.



Record 9
A geometry-optimized GdY2Al3CuSi2 structure, computed with PBE-GGA.

The structure in POSCAR format:
```
GdY2Al3CuSi2
1.0
-2.681 -2.666 1.797
4.610 -5.134 -0.738
0.004 3.876 5.756
Al Cu Gd Si Y
3 1 1 2 2
Direct
0.500 0.763 0.001 Al
0.500 0.237 0.237 Al
0.500 0.001 0.763 Al
0.000 0.001 0.001 Cu
0.000 0.594 0.594 Gd
0.500 0.667 0.332 Si
0.500 0.332 0.667 Si
0.000 0.000 0.406 Y
0.000 0.406 0.000 Y
```

Summary:
As for the crystal system: orthorhombic. The space group is Amm2, No. 38. As for the magnetic moment: 0.00 μB/atom.



Record 10
A geometry-optimized Tb2GdAl7Cu2 structure, computed with PBE-GGA.

The structure in POSCAR format:
```
Tb2GdAl7Cu2
1.0
5.585 2.789 6.605
5.842 -2.703 6.416
8.651 0.310 2.768
Al Cu Gd Tb
7 2 1 2
Direct
0.582 0.582 0.072 Al
0.928 0.418 0.418 Al
0.418 0.928 0.418 Al
0.500 0.500 0.500 Al
0.582 0.072 0.582 Al
0.072 0.582 0.582 Al
0.418 0.418 0.928 Al
0.335 0.335 0.335 Cu
0.665 0.665 0.665 Cu
0.000 0.000 0.000 Gd
0.142 0.142 0.142 Tb
0.858 0.858 0.858 Tb
```

Summary:
As for the crystal system: trigonal. The space group is R-3m, No. 166. As for the magnetic moment: 0.00 μB/atom.



Record 11
A geometry-optimized TbGdAl4Cu2 structure, computed with PBE-GGA.

The structure in POSCAR format:
```
TbGdAl4Cu2
1.0
-5.268 -1.099 -4.138
0.706 -5.438 0.546
-1.919 -3.834 3.462
Al Cu Gd Tb
4 2 1 1
Direct
0.197 0.139 0.139 Al
0.803 0.139 0.139 Al
0.304 0.860 0.860 Al
0.696 0.860 0.860 Al
0.500 0.288 0.288 Cu
0.000 0.712 0.712 Cu
0.000 0.428 0.428 Gd
0.500 0.572 0.572 Tb
```

Summary:
As for the crystal system: orthorhombic. The space group is Amm2, No. 38. As for the magnetic moment: 0.00 μB/atom.



Record 12
A geometry-optimized GdTmAl4Cu2 structure, computed with PBE-GGA.

The structure in POSCAR format:
```
GdTmAl4Cu2
1.0
-4.417 5.143 0.416
0.305 -0.178 5.448
3.159 2.410 3.744
Al Cu Gd Tm
4 2 1 1
Direct
0.198 0.139 0.139 Al
0.802 0.139 0.139 Al
0.305 0.860 0.860 Al
0.695 0.860 0.860 Al
0.500 0.287 0.287 Cu
0.000 0.713 0.713 Cu
0.000 0.429 0.429 Gd
0.500 0.571 0.571 Tm
```

Summary:
As for the crystal system: orthorhombic. The space group is Amm2, No. 38. As for the magnetic moment: 0.00 μB/atom.



Record 13
A geometry-optimized GdTm2Al3Cu3 structure, computed with PBE-GGA.

The structure in POSCAR format:
```
GdTm2Al3Cu3
1.0
3.998 0.000 0.000
0.000 6.041 3.492
0.000 -6.041 3.492
Al Cu Gd Tm
3 3 1 2
Direct
0.500 0.998 0.236 Al
0.500 0.764 0.764 Al
0.500 0.236 0.998 Al
0.500 0.671 0.331 Cu
0.500 0.331 0.671 Cu
0.000 0.996 0.996 Cu
0.000 0.416 0.416 Gd
0.000 0.587 0.001 Tm
0.000 0.001 0.587 Tm
```

Summary:
As for the crystal system: orthorhombic. The space group is Amm2, No. 38. As for the magnetic moment: 0.00 μB/atom.



Record 14
A geometry-optimized GdY2Al7Cu2 structure, computed with PBE-GGA.

The structure in POSCAR format:
```
GdY2Al7Cu2
1.0
2.751 1.588 8.505
-2.751 1.588 8.505
0.000 -3.177 8.505
Al Cu Gd Y
7 2 1 2
Direct
0.582 0.582 0.072 Al
0.928 0.418 0.418 Al
0.418 0.928 0.418 Al
0.500 0.500 0.500 Al
0.582 0.072 0.582 Al
0.072 0.582 0.582 Al
0.418 0.418 0.928 Al
0.335 0.335 0.335 Cu
0.665 0.665 0.665 Cu
0.000 0.000 0.000 Gd
0.142 0.142 0.142 Y
0.858 0.858 0.858 Y
```

Summary:
As for the crystal system: trigonal. The space group is R-3m, No. 166. As for the magnetic moment: 0.00 μB/atom.



Record 15
A geometry-optimized GdAl2ZnCu structure, computed with PBE-GGA.

The structure in POSCAR format:
```
GdAl2ZnCu
1.0
-2.049 2.049 5.377
2.049 -2.049 5.377
2.049 2.049 -5.377
Al Cu Gd Zn
2 1 1 1
Direct
0.745 0.245 0.500 Al
0.245 0.745 0.500 Al
0.616 0.616 0.000 Cu
0.000 0.000 0.000 Gd
0.394 0.394 0.000 Zn
```

Summary:
As for the crystal system: tetragonal. The space group is I4mm, No. 107. As for the magnetic moment: 0.00 μB/atom.



Record 16
A geometry-optimized AlCu6Ge structure, computed with PBE-GGA.

The structure in POSCAR format:
```
AlCu6Ge
1.0
4.216 0.000 0.000
0.000 5.241 0.000
0.000 0.000 4.560
Al Cu Ge
1 6 1
Direct
0.000 0.000 0.671 Al
0.000 0.249 0.164 Cu
0.000 0.751 0.164 Cu
0.500 0.000 0.333 Cu
0.000 0.500 0.667 Cu
0.500 0.247 0.834 Cu
0.500 0.753 0.834 Cu
0.500 0.500 0.333 Ge
```

Summary:
As for the crystal system: orthorhombic. The space group is Pmm2, No. 25.



Record 17
A geometry-optimized Al2CuGe structure, computed with PBE-GGA.

The structure in POSCAR format:
```
Al2CuGe
1.0
0.000 3.182 3.182
3.182 0.000 3.182
3.182 3.182 0.000
Al Cu Ge
2 1 1
Direct
0.000 0.000 0.000 Al
0.750 0.750 0.750 Al
0.250 0.250 0.250 Cu
0.500 0.500 0.500 Ge
```

Summary:
As for the crystal system: cubic. The space group is F-43m, No. 216.



Record 18
A geometry-optimized Ho3Al3Cu2Ge structure, computed with PBE-GGA.

The structure in POSCAR format:
```
Ho3Al3Cu2Ge
1.0
-3.587 6.246 0.766
-1.502 -4.379 -5.571
-2.687 -1.806 2.144
Al Cu Ge Ho
3 2 1 3
Direct
0.738 0.000 0.000 Al
0.262 0.262 0.000 Al
0.000 0.738 0.000 Al
0.667 0.333 0.000 Cu
0.333 0.667 0.000 Cu
0.000 0.000 0.500 Ge
0.399 0.000 0.500 Ho
0.000 0.399 0.500 Ho
0.601 0.601 0.500 Ho
```

Summary:
As for the crystal system: hexagonal. The space group is P-62m, No. 189. As for the magnetic moment: 0.00 μB/atom.



Record 19
A geometry-optimized HoLu2Al3CuGe2 structure, computed with PBE-GGA.

The structure in POSCAR format:
```
HoLu2Al3CuGe2
1.0
-1.901 2.172 -2.950
-6.007 -3.045 1.630
1.875 5.891 3.130
Al Cu Ge Ho Lu
3 1 2 1 2
Direct
0.500 0.767 0.001 Al
0.500 0.233 0.233 Al
0.500 0.001 0.767 Al
0.000 0.004 0.004 Cu
0.500 0.667 0.330 Ge
0.500 0.330 0.667 Ge
0.000 0.596 0.596 Ho
0.000 0.999 0.403 Lu
0.000 0.403 0.999 Lu
```

Summary:
As for the crystal system: orthorhombic. The space group is Amm2, No. 38. As for the magnetic moment: 0.00 μB/atom.



Record 20
A geometry-optimized Ho3Al3CuNiGe structure, computed with PBE-GGA.

The structure in POSCAR format:
```
Ho3Al3CuNiGe
1.0
-1.268 5.700 -3.762
0.289 -6.211 -3.096
-4.002 -0.489 0.607
Al Cu Ge Ho Ni
3 1 1 3 1
Direct
0.326 0.432 0.500 Al
0.106 0.674 0.500 Al
0.568 0.894 0.500 Al
0.000 0.000 0.500 Cu
0.667 0.333 0.500 Ge
0.324 0.072 0.000 Ho
0.928 0.253 0.000 Ho
0.747 0.676 0.000 Ho
0.333 0.667 0.000 Ni
```

Summary:
As for the crystal system: hexagonal. The space group is P-6, No. 174. As for the magnetic moment: 0.00 μB/atom.



E_tot, record by record: -44.840, -42.616, -46.047, -44.758, -42.708, -46.651, -25.736, -45.410, -49.133, -53.506, -35.191, -35.044, -40.102, -57.247, -19.308, -31.413, -15.069, -40.831, -43.563, -44.682 eV/cell